# 1
This record from the Alexandria database describes a relaxed structure of GdSc2Si. The functional is PBE-GGA.

Unit cell a=4.416 b=4.434 c=4.434 alpha=90.00 beta=90.00 gamma=90.00
Positions (direct):
Sc (0.000, 0.000, 0.500)
Sc (0.000, 0.500, 0.000)
Si (0.500, 0.500, 0.500)
Gd (0.500, 0.000, 0.000)

Computed properties:
ΔE_f (raw) (eV per atom): -0.308
Energy above the lowest structure with this stoichiometry (eV per atom): 0.0000

***

# 2
This record from the Alexandria database describes a relaxed structure of GdScSi. The functional is PBE-GGA.

Unit cell a=8.347 b=8.347 c=8.347 alpha=150.72 beta=150.72 gamma=41.88
Positions (direct):
Gd (0.678, 0.678, 0.000)
Gd (0.322, 0.322, 0.000)
Sc (0.000, 0.500, 0.500)
Sc (0.500, 0.000, 0.500)
Si (0.875, 0.875, 0.000)
Si (0.125, 0.125, 0.000)

Computed properties:
ΔE_f (raw) (eV per atom): -0.664

***

# 3
This record from the Alexandria database describes a relaxed structure of GdSc2Si. The functional is PBE-GGA.

Unit cell a=4.228 b=4.228 c=7.122 alpha=72.73 beta=72.73 gamma=60.00
Positions (direct):
Sc (0.281, 0.281, 0.156)
Sc (0.719, 0.719, 0.844)
Si (0.000, 0.000, 0.000)
Gd (0.500, 0.500, 0.500)

Computed properties:
ΔE_f (raw) (eV per atom): -0.105
Energy above the lowest structure with this stoichiometry (eV per atom): 0.2026

***

# 4
This record from the Alexandria database describes a relaxed structure of GdScZnSi. The functional is PBE-GGA.

Unit cell a=4.852 b=4.852 c=4.852 alpha=60.00 beta=60.00 gamma=60.00
Positions (direct):
Sc (0.500, 0.500, 0.500)
Zn (0.250, 0.250, 0.250)
Gd (0.000, 0.000, 0.000)
Si (0.750, 0.750, 0.750)

Computed properties:
ΔE_f (raw) (eV per atom): -0.461

***

# 5
This record from the Alexandria database describes a relaxed structure of SmGd2Sc. The functional is PBE-GGA.

Unit cell a=4.964 b=4.955 c=4.955 alpha=90.00 beta=90.00 gamma=90.00
Positions (direct):
Sc (0.500, 0.000, 0.000)
Gd (0.000, 0.000, 0.500)
Gd (0.000, 0.500, 0.000)
Sm (0.500, 0.500, 0.500)

Computed properties:
Energy above the lowest structure with this stoichiometry (eV per atom): 0.0000
Formation energy from the elements (eV per atom): 0.044

***

# 6
This record from the Alexandria database describes a relaxed structure of Sm2GdSc. The functional is PBE-GGA.

Unit cell a=5.602 b=5.602 c=5.602 alpha=60.00 beta=60.00 gamma=60.00
Positions (direct):
Sc (0.500, 0.500, 0.500)
Gd (0.000, 0.000, 0.000)
Sm (0.250, 0.250, 0.250)
Sm (0.750, 0.750, 0.750)

Computed properties:
Energy above the lowest structure with this stoichiometry (eV per atom): 0.0810
Formation energy from the elements (eV per atom): 0.119

***

# 7
This record from the Alexandria database describes a relaxed structure of Sm2GdSc. The functional is PBE-GGA.

Unit cell a=4.945 b=4.993 c=4.993 alpha=90.00 beta=90.00 gamma=90.00
Positions (direct):
Sc (0.500, 0.000, 0.000)
Gd (0.500, 0.500, 0.500)
Sm (0.000, 0.000, 0.500)
Sm (0.000, 0.500, 0.000)

Computed properties:
Energy above the lowest structure with this stoichiometry (eV per atom): 0.0000
Formation energy from the elements (eV per atom): 0.038

***

# 8
This record from the Alexandria database describes a relaxed structure of Sm2GdSc. The functional is PBE-GGA.

Unit cell a=3.446 b=3.446 c=12.348 alpha=81.98 beta=81.98 gamma=60.00
Positions (direct):
Sc (0.000, 0.000, 0.000)
Gd (0.500, 0.500, 0.500)
Sm (0.086, 0.086, 0.741)
Sm (0.914, 0.914, 0.259)

Computed properties:
Energy above the lowest structure with this stoichiometry (eV per atom): 0.1923
Formation energy from the elements (eV per atom): 0.230

***

# 9
This record from the Alexandria database describes a relaxed structure of Sm2GdSc. The functional is PBE-GGA.

Unit cell a=3.564 b=3.564 c=9.749 alpha=90.00 beta=90.00 gamma=90.00
Positions (direct):
Sc (0.500, 0.500, 0.000)
Gd (0.500, 0.500, 0.500)
Sm (0.000, 0.000, 0.764)
Sm (0.000, 0.000, 0.236)

Computed properties:
Energy above the lowest structure with this stoichiometry (eV per atom): 0.0024
Formation energy from the elements (eV per atom): 0.040

***

# 10
This record from the Alexandria database describes a relaxed structure of SmGd2Sc. The functional is PBE-GGA.

Unit cell a=3.444 b=3.444 c=12.280 alpha=81.94 beta=81.94 gamma=60.00
Positions (direct):
Sc (0.500, 0.500, 0.500)
Gd (0.092, 0.092, 0.724)
Gd (0.908, 0.908, 0.276)
Sm (0.000, 0.000, 0.000)

Computed properties:
Energy above the lowest structure with this stoichiometry (eV per atom): 0.1290
Formation energy from the elements (eV per atom): 0.173

***

# 11
This record from the Alexandria database describes a relaxed structure of SmGd2Sc. The functional is PBE-GGA.

Unit cell a=5.585 b=5.585 c=5.585 alpha=60.00 beta=60.00 gamma=60.00
Positions (direct):
Sc (0.500, 0.500, 0.500)
Gd (0.250, 0.250, 0.250)
Gd (0.750, 0.750, 0.750)
Sm (0.000, 0.000, 0.000)

Computed properties:
Energy above the lowest structure with this stoichiometry (eV per atom): 0.0694
Formation energy from the elements (eV per atom): 0.114

***

# 12
This record from the Alexandria database describes a relaxed structure of SmGd2Sc. The functional is PBE-GGA.

Unit cell a=3.555 b=3.555 c=9.696 alpha=90.00 beta=90.00 gamma=90.00
Positions (direct):
Sc (0.500, 0.500, 0.000)
Gd (0.000, 0.000, 0.766)
Gd (0.000, 0.000, 0.234)
Sm (0.500, 0.500, 0.500)

Computed properties:
Energy above the lowest structure with this stoichiometry (eV per atom): 0.0045
Formation energy from the elements (eV per atom): 0.049

***

# 13
This record from the Alexandria database describes a relaxed structure of SmGdSc4. The functional is PBE-GGA.

Unit cell a=6.275 b=6.275 c=6.275 alpha=60.00 beta=60.00 gamma=60.00
Positions (direct):
Sc (0.626, 0.626, 0.123)
Sc (0.626, 0.123, 0.626)
Sc (0.626, 0.626, 0.626)
Sc (0.123, 0.626, 0.626)
Gd (0.000, 0.000, 0.000)
Sm (0.250, 0.250, 0.250)

Computed properties:
Formation energy from the elements (eV per atom): 0.229

***

E (eV/f.u.)
-33.40, -27.83, -32.59, -28.95, -39.04, -29.38, -29.70, -28.93, -29.69, -38.52, -38.76, -39.02, -42.75